# 1
This record from OQMD describes a relaxed BeCdNiSn crystal. The functional is PBE.

a b c (Å): 4.5256 4.5256 4.5256
angles (deg): 60.00 60.00 60.00
Last column: nearest neighbours and their distance in Å.
Atoms (fractional coordinates):
1 Be 0.7500 0.7500 0.7500  4 Ni 2.77, 4 Cd 2.77
2 Cd 0.0000 0.0000 0.0000  4 Sn 2.77, 4 Be 2.77
3 Ni 0.5000 0.5000 0.5000  4 Be 2.77, 4 Sn 2.77
4 Sn 0.2500 0.2500 0.2500  4 Cd 2.77, 4 Ni 2.77

- electronic total energy (eV per atom) = -3.123
- energy above the most stable polymorph in this dataset (eV per formula unit) = 0.49

=====

# 2
This record from OQMD describes a relaxed Dy2Y2Lu3Ni2Te2 crystal. The functional is PBE.

a b c (Å): 9.3107 9.3107 9.3107
angles (deg): 156.31 67.46 117.88
Last column: nearest neighbours and their distance in Å.
Atoms (fractional coordinates):
1 Dy 0.2822 0.0964 0.1858  2 Ni 2.78
2 Dy 0.9107 0.0964 0.8142  2 Ni 2.78
3 Lu 0.8962 0.7507 0.1455  2 Ni 2.77
4 Lu 0.9747 0.4747 0.5000  3 Te 3.17-3.18
5 Lu 0.6051 0.7507 0.8545  2 Ni 2.77
6 Ni 0.6675 0.4018 0.2657  2 Lu 2.77, 2 Dy 2.78, 2 Y 2.83
7 Ni 0.1362 0.4019 0.7343  2 Lu 2.77, 2 Dy 2.78, 2 Y 2.83
8 Te 0.2382 0.2382 0.0000  2 Lu 3.17, 4 Y 3.17, 2 Dy 3.18
9 Te 0.6434 0.1434 0.5000  2 Y 3.13, 5 Lu 3.13-3.18
10 Y 0.2648 0.8959 0.3689  2 Ni 2.83, 1 Te 3.13
11 Y 0.5271 0.8959 0.6311  2 Ni 2.83, 1 Te 3.13

- electronic total energy (eV per atom) = -5.492
- energy above the most stable polymorph in this dataset (eV per formula unit) = 0.17

=====

# 3
This record from OQMD describes a relaxed KCuTeIrS2 crystal. The functional is PBE.

a b c (Å): 7.8702 7.8702 9.8968
angles (deg): 90.00 90.00 152.96
Last column: nearest neighbours and their distance in Å.
Atoms (fractional coordinates):
1 Cu 0.0470 0.9530 0.2500  2 S 2.23
2 Cu 0.9530 0.0470 0.7500  2 S 2.23
3 Ir 0.5000 0.5000 0.0000  4 S 2.43
4 Ir 0.5000 0.5000 0.5000  4 S 2.43
5 K 0.7256 0.2744 0.2500  2 Cu 3.29, 4 S 3.37, 2 Te 3.55, 2 K 3.68
6 K 0.2744 0.7256 0.7500  2 Cu 3.29, 4 S 3.37, 2 Te 3.55, 2 K 3.68
7 S 0.1007 0.8993 0.0407  1 Cu 2.23, 2 Ir 2.43
8 S 0.1007 0.8993 0.4593  1 Cu 2.23, 2 Ir 2.43
9 S 0.8993 0.1007 0.5407  1 Cu 2.23, 2 Ir 2.43
10 S 0.8993 0.1007 0.9593  1 Cu 2.23, 2 Ir 2.43
11 Te 0.4236 0.5764 0.2500  2 Cu 2.64, 2 Ir 2.74
12 Te 0.5764 0.4236 0.7500  2 Cu 2.64, 2 Ir 2.74

- electronic total energy (eV per atom) = -4.600

=====

# 4
This record from OQMD describes a relaxed Pm3Co crystal. The functional is PBE.

a b c (Å): 6.1637 6.1637 6.1637
angles (deg): 137.81 137.81 61.20
Last column: nearest neighbours and their distance in Å.
Atoms (fractional coordinates):
1 Co 0.0000 0.0000 0.0000  12 Pm 3.14-3.46
2 Pm 0.5000 0.5000 0.0000  4 Co 3.14, 8 Pm 3.46
3 Pm 0.7500 0.2500 0.5000  8 Pm 3.14-3.46, 4 Co 3.46
4 Pm 0.2500 0.7500 0.5000  8 Pm 3.14-3.46, 4 Co 3.46

- electronic total energy (eV per atom) = -4.990
- energy above the most stable polymorph in this dataset (eV per formula unit) = 0.59

=====

# 5
This record from OQMD describes a relaxed NaYBAu crystal. The functional is PBE.

a b c (Å): 4.6281 4.6281 4.6281
angles (deg): 60.00 60.00 60.00
Last column: nearest neighbours and their distance in Å.
Atoms (fractional coordinates):
1 Au 0.7500 0.7500 0.7500  4 B 2.83, 4 Y 2.83
2 B 0.5000 0.5000 0.5000  4 Na 2.83, 4 Au 2.83
3 Na 0.2500 0.2500 0.2500  4 B 2.83, 4 Y 2.83
4 Y 0.0000 0.0000 0.0000  4 Na 2.83, 4 Au 2.83

- electronic total energy (eV per atom) = -4.104
- energy above the most stable polymorph in this dataset (eV per formula unit) = 0.53

=====

# 6
This record from OQMD describes a relaxed Ac4Au4O11 crystal. The functional is PBE.

a b c (Å): 5.8139 7.3346 7.2983
angles (deg): 89.95 88.88 92.44
Last column: nearest neighbours and their distance in Å.
Atoms (fractional coordinates):
1 Ac 0.5106 0.6251 0.2357  5 O 2.43-2.65
2 Ac 0.0049 0.1009 0.2672  6 O 2.51-2.60
3 Ac 0.4287 0.3955 0.7358  7 O 2.47-2.73
4 Ac 0.0509 0.8658 0.7660  8 O 2.53-2.80
5 Au 0.5302 0.0171 0.0082  4 O 2.02-2.07
6 Au 0.9639 0.4950 0.4867  4 O 2.03-2.06
7 Au 0.5222 0.0036 0.5169  4 O 2.02-2.07
8 Au 0.9489 0.4746 0.9927  2 O 2.05-2.06
9 O 0.8122 0.8718 0.0590  1 Au 2.03
10 O 0.1073 0.4415 0.2381  2 Au 2.03-2.05
11 O 0.3874 0.9477 0.2620  2 Au 2.07
12 O 0.6690 0.3594 0.4138  1 Au 2.03
13 O 0.8036 0.8585 0.4668  1 Au 2.02
14 O 0.2653 0.6353 0.5381  1 Au 2.04
15 O 0.2200 0.1307 0.5624  1 Au 2.05
16 O 0.8237 0.5466 0.7426  2 Au 2.06
17 O 0.6696 0.0852 0.7583  2 Au 2.03-2.05
18 O 0.3346 0.6532 0.9381  3 Ac 2.43-2.65, 1 Au 2.57
19 O 0.2361 0.1454 0.9615  1 Au 2.02

- electronic total energy (eV per atom) = -6.224
- energy above the most stable polymorph in this dataset (eV per formula unit) = 0.00

=====

# 7
This record from OQMD describes a relaxed TbYTeO2 crystal. The functional is PBE.

a b c (Å): 3.9016 3.9016 7.2005
angles (deg): 90.00 90.00 120.00
Last column: nearest neighbours and their distance in Å.
Atoms (fractional coordinates):
1 O 0.0000 0.0000 0.3791  1 Y 2.29, 3 Tb 2.32
2 O 0.3333 0.6667 0.6208  1 Tb 2.28, 3 Y 2.32
3 Tb 0.3333 0.6667 0.3046  4 O 2.28-2.32
4 Te 0.6667 0.3333 0.9989  3 Y 3.13, 3 Tb 3.15
5 Y 0.0000 0.0000 0.6966  4 O 2.29-2.32

- electronic total energy (eV per atom) = -7.702
- energy above the most stable polymorph in this dataset (eV per formula unit) = 0.38

=====

# 8
This record from OQMD describes a relaxed Li2TaOs crystal. The functional is PBE.

a b c (Å): 4.3384 4.3384 4.3384
angles (deg): 60.00 60.00 60.00
Last column: nearest neighbours and their distance in Å.
Atoms (fractional coordinates):
1 Li 0.0000 0.0000 0.0000  4 Ta 2.66, 4 Li 2.66
2 Li 0.2500 0.2500 0.2500  4 Os 2.66, 4 Li 2.66
3 Os 0.5000 0.5000 0.5000  4 Li 2.66, 4 Ta 2.66
4 Ta 0.7500 0.7500 0.7500  4 Li 2.66, 4 Os 2.66

- electronic total energy (eV per atom) = -6.598

=====

# 9
This record from OQMD describes a relaxed TbTlAu3S4 crystal. The functional is PBE.

a b c (Å): 6.2227 6.2227 6.2227
angles (deg): 90.00 90.00 90.00
Last column: nearest neighbours and their distance in Å.
Atoms (fractional coordinates):
1 Au 0.5000 0.5000 0.0000  4 S 2.66
2 Au 0.5000 0.0000 0.5000  4 S 2.66
3 Au 0.0000 0.5000 0.5000  4 S 2.66
4 S 0.2596 0.2596 0.2596  1 Tb 2.59, 3 Au 2.66, 1 Tl 2.80
5 S 0.7404 0.7404 0.2596  1 Tb 2.59, 3 Au 2.66, 1 Tl 2.80
6 S 0.7404 0.2596 0.7404  1 Tb 2.59, 3 Au 2.66, 1 Tl 2.80
7 S 0.2596 0.7404 0.7404  1 Tb 2.59, 3 Au 2.66, 1 Tl 2.80
8 Tb 0.5000 0.5000 0.5000  4 S 2.59
9 Tl 0.0000 0.0000 0.0000  4 S 2.80

- electronic total energy (eV per atom) = -4.072
- energy above the most stable polymorph in this dataset (eV per formula unit) = 0.87

=====

# 10
This record from OQMD describes a relaxed Al2TeMo crystal. The functional is PBE.

a b c (Å): 4.6755 4.6755 4.6755
angles (deg): 60.00 60.00 60.00
Last column: nearest neighbours and their distance in Å.
Atoms (fractional coordinates):
1 Al 0.0000 0.0000 0.0000  4 Te 2.86, 4 Al 2.86
2 Al 0.2500 0.2500 0.2500  4 Mo 2.86, 4 Al 2.86
3 Mo 0.5000 0.5000 0.5000  4 Al 2.86, 4 Te 2.86
4 Te 0.7500 0.7500 0.7500  4 Mo 2.86, 4 Al 2.86

- electronic total energy (eV per atom) = -4.935

=====

# 11
This record from OQMD describes a relaxed BeZn crystal. The functional is PBE.

a b c (Å): 4.3926 5.2431 3.9045
angles (deg): 90.00 90.00 90.00
Last column: nearest neighbours and their distance in Å.
Atoms (fractional coordinates):
1 Be 0.9530 0.0000 0.0000  6 Be 2.36-2.37, 6 Zn 2.51-2.62
2 Be 0.1119 0.7826 0.5000  4 Be 2.28-2.37, 4 Zn 2.46-2.52
3 Be 0.1119 0.2174 0.5000  4 Be 2.28-2.37, 4 Zn 2.46-2.52
4 Be 0.6515 0.0000 0.5000  4 Be 2.32-2.36, 4 Zn 2.46
5 Zn 0.4530 0.2310 0.0000  4 Zn 2.42-2.52, 6 Be 2.46-2.51
6 Zn 0.9809 0.5000 0.0000  6 Zn 2.51-2.71, 6 Be 2.52-2.62
7 Zn 0.4530 0.7690 0.0000  4 Zn 2.42-2.52, 6 Be 2.46-2.51
8 Zn 0.6182 0.5000 0.5000  6 Zn 2.52, 6 Be 2.63-2.67

- electronic total energy (eV per atom) = -2.328

=====

# 12
This record from OQMD describes a relaxed NbCu2Ge crystal. The functional is PBE.

a b c (Å): 4.3515 4.3515 4.3515
angles (deg): 60.00 60.00 60.00
Last column: nearest neighbours and their distance in Å.
Atoms (fractional coordinates):
1 Cu 0.0000 0.0000 0.0000  4 Nb 2.66, 4 Cu 2.66
2 Cu 0.7500 0.7500 0.7500  4 Ge 2.66, 4 Cu 2.66
3 Ge 0.5000 0.5000 0.5000  4 Cu 2.66, 4 Nb 2.66
4 Nb 0.2500 0.2500 0.2500  4 Ge 2.66, 4 Cu 2.66

- electronic total energy (eV per atom) = -5.439